Below is a geometry-optimized Nd8HoIn6 structure, with properties calculated at the PBE level.

a = 9.2317 Å, b = 9.2317 Å, c = 8.5217 Å
α = 57.20°, β = 57.20°, γ = 60.00°
Closest atoms and distances in Å follow each position.
Sites, in units of the cell vectors:
Nd: 0.5496 0.2193 0.3460  5 In 3.27-3.38
Nd: 0.7807 0.1149 0.6540  5 In 3.27-3.38
Nd: 0.1149 0.4504 0.6540  5 In 3.27-3.38
Nd: 0.6654 0.6654 0.0037  6 In 3.29
Nd: 0.3346 0.3346 0.9963  6 In 3.29
Nd: 0.8851 0.5496 0.3460  5 In 3.27-3.38
Nd: 0.2193 0.8851 0.3460  5 In 3.27-3.38
Nd: 0.4504 0.7807 0.6540  5 In 3.27-3.38
Ho: 0.0000 0.0000 0.0000  6 In 3.20
In: 0.3812 0.0535 0.8376  1 Ho 3.20, 7 Nd 3.27-3.38
In: 0.9465 0.2724 0.1624  1 Ho 3.20, 7 Nd 3.27-3.38
In: 0.2724 0.6188 0.1624  1 Ho 3.20, 7 Nd 3.27-3.38
In: 0.7276 0.3812 0.8376  1 Ho 3.20, 7 Nd 3.27-3.38
In: 0.0535 0.7276 0.8376  1 Ho 3.20, 7 Nd 3.27-3.38
In: 0.6188 0.9465 0.1624  1 Ho 3.20, 7 Nd 3.27-3.38

Summary:
formation energy from the elements: -243 meV per atom

Below is a geometry-optimized SrTaHg3 structure, with properties calculated at the PBE level.

a = 5.3879 Å, b = 5.3879 Å, c = 5.3879 Å
α = 90.00°, β = 90.00°, γ = 90.00°
Closest atoms and distances in Å follow each position.
Sites, in units of the cell vectors:
Sr: 0.5000 0.5000 0.5000  12 Hg 3.81
Hg: 0.0000 0.5000 0.0000  2 Ta 2.69
Hg: 0.0000 0.0000 0.5000  2 Ta 2.69
Hg: 0.5000 0.0000 0.0000  2 Ta 2.69
Ta: 0.0000 0.0000 0.0000  6 Hg 2.69

Summary:
formation energy from the elements: 312 meV per atom
excess energy over the best structure of this formula in the dataset: 0.00 eV/f.u.

Below is a geometry-optimized CsRbN4 structure, with properties calculated at the PBE level.

a = 8.4339 Å, b = 8.4339 Å, c = 7.9134 Å
α = 65.61°, β = 65.61°, γ = 100.42°
Closest atoms and distances in Å follow each position.
Sites, in units of the cell vectors:
Cs: 0.6389 0.3611 0.7500  8 N 3.23-3.32
Cs: 0.3611 0.6389 0.2500  8 N 3.23-3.32
Rb: 0.9579 0.0421 0.2500  8 N 3.03-3.12
Rb: 0.0421 0.9579 0.7500  8 N 3.03-3.12
N: 0.2540 0.2992 0.7394  1 N 2.64
N: 0.7220 0.0234 0.0504  1 N 2.64
N: 0.7008 0.7460 0.7606  1 N 2.64
N: 0.9766 0.2780 0.4496  1 N 2.64
N: 0.0234 0.7220 0.5504  1 N 2.64
N: 0.2992 0.2540 0.2394  1 N 2.64
N: 0.2780 0.9766 0.9496  1 N 2.64
N: 0.7460 0.7008 0.2606  1 N 2.64

Summary:
uncorrected formation energy: 2.496 eV per atom

Below is a geometry-optimized K2AlIn structure, with properties calculated at the PBE level.

a = 5.7757 Å, b = 4.8359 Å, c = 4.8359 Å
α = 90.00°, β = 90.00°, γ = 90.00°
Closest atoms and distances in Å follow each position.
Sites, in units of the cell vectors:
K: 0.0000 0.0000 0.0000  4 K 3.42, 4 In 3.77, 4 Al 3.77
K: 0.0000 0.5000 0.5000  4 K 3.42, 4 In 3.77, 4 Al 3.77
Al: 0.5000 0.5000 0.0000  4 In 3.42, 8 K 3.77
In: 0.5000 0.0000 0.5000  4 Al 3.42, 8 K 3.77

Summary:
formation energy from the elements: 284 meV per atom
excess energy over the best structure of this formula in the dataset: 1.09 eV/f.u.

Which spin magnetization belongs to each record? In order, 0.00, 0.00, 20.01, 0.06 Bohr magnetons per cell.
Which density belongs to each record? In order, 6794, 9240, 2155, 2705 kg/m3.